Record 1
Ta2ZnTe: optimized geometry, GGA-PBE.

a b c (Å): 5.833 8.735 3.099
angles (deg): 90.00 108.22 90.00
Space group C2/m (No. 12)
Inequivalent atoms, fractional coordinates:
Ta 0.250 0.250 0.000 [4 per cell]
Zn 0.000 0.000 0.500 [2 per cell]
Te 0.000 0.500 0.500 [2 per cell]

- offset from the most stable computed form (meV per atom) = 265
- ΔE_f (raw) (eV/atom) = 0.36

Record 2
ZrTa2Te: optimized geometry, GGA-PBE.

a b c (Å): 4.348 4.348 8.505
angles (deg): 90.00 90.00 90.00
Space group I-4m2 (No. 119)
Inequivalent atoms, fractional coordinates:
Zr 0.000 0.000 0.000 [2 per cell]
Ta 0.000 0.000 0.500 [2 per cell]
Ta 0.000 0.500 0.750 [2 per cell]
Te 0.000 0.500 0.250 [2 per cell]

- ΔE_f (raw) (eV/atom) = 0.12

Record 3
ZrTaTe: optimized geometry, GGA-PBE.

a b c (Å): 4.9157 4.9157 3.0706
angles (deg): 90.00 90.00 120.00
Space group P-6m2 (No. 187)
Inequivalent atoms, fractional coordinates:
Zr 0.0000 0.0000 0.0000 [1 per cell]
Ta 0.6667 0.3333 0.5000 [1 per cell]
Te 0.3333 0.6667 0.5000 [1 per cell]

- offset from the most stable computed form (meV per atom) = 572
- ΔE_f (raw) (eV/atom) = 0.10

Record 4
ZrTa2Te: optimized geometry, GGA-PBE.

a b c (Å): 3.383 4.651 5.489
angles (deg): 90.00 107.35 90.00
Space group Pm (No. 6)
Inequivalent atoms, fractional coordinates:
Zr 0.000 0.000 0.000 [1 per cell]
Ta 0.274 0.000 0.517 [1 per cell]
Ta 0.724 0.500 0.425 [1 per cell]
Te 0.439 0.500 0.871 [1 per cell]

- ΔE_f (raw) (eV/atom) = 0.01

Record 5
ZrTa2Te: optimized geometry, GGA-PBE.

a b c (Å): 3.636 5.164 8.869
angles (deg): 90.00 90.00 90.00
Space group Cmm2 (No. 35)
Inequivalent atoms, fractional coordinates:
Zr 0.000 0.000 0.000 [2 per cell]
Ta 0.000 0.000 0.509 [2 per cell]
Ta 0.000 0.500 0.742 [2 per cell]
Te 0.000 0.500 0.259 [2 per cell]

- ΔE_f (raw) (eV/atom) = 0.06

Record 6
Zr3TaTe: optimized geometry, GGA-PBE.

a b c (Å): 5.170 5.170 5.170
angles (deg): 90.00 90.00 90.00
Space group Pm-3m (No. 221)
Inequivalent atoms, fractional coordinates:
Zr 0.000 0.000 0.500 [3 per cell]
Ta 0.500 0.500 0.500 [1 per cell]
Te 0.000 0.000 0.000 [1 per cell]

- offset from the most stable computed form (meV per atom) = 212
- ΔE_f (raw) (eV/atom) = 0.96

Record 7
Zr2TaTe6: optimized geometry, GGA-PBE.

a b c (Å): 7.030 7.377 11.566
angles (deg): 90.00 124.22 90.00
Space group P2_1/c (No. 14)
Inequivalent atoms, fractional coordinates:
Zr 0.205 0.156 0.249 [4 per cell]
Ta 0.000 0.000 0.500 [2 per cell]
Te 0.088 0.161 0.929 [4 per cell]
Te 0.276 0.674 0.928 [4 per cell]
Te 0.422 0.015 0.758 [4 per cell]

- offset from the most stable computed form (meV per atom) = 152
- ΔE_f (raw) (eV/atom) = -0.53

Record 8
Zr2TaTe6: optimized geometry, GGA-PBE.

a b c (Å): 15.610 3.861 9.720
angles (deg): 90.00 110.87 90.00
Space group C2/m (No. 12)
Inequivalent atoms, fractional coordinates:
Zr 0.166 0.000 0.332 [4 per cell]
Ta 0.000 0.500 0.000 [2 per cell]
Te 0.021 0.500 0.302 [4 per cell]
Te 0.137 0.000 0.020 [4 per cell]
Te 0.190 0.000 0.644 [4 per cell]

- offset from the most stable computed form (meV per atom) = 0
- ΔE_f (raw) (eV/atom) = -0.68

Values of DFT total energy, in order: -6.675, -8.724, -7.749, -8.837, -8.784, -7.169, -5.842, -5.994, all in eV per atom.